1.
VASP calculation (GGA-PBE) on crystalline ZnTcAsSe2 at its relaxed geometry.

- DOS(E_F): 1.240 states/eV/atom
- Spin magnetization: 0.00 μB/f.u.
- Total energy: -21.0 eV per cell

Cell lengths 4.956, 4.956, 4.774 Å; angles 90.00, 90.00, 90.00 degrees
Positions (direct):
Zn 0.500 0.500 0.500
Se 0.000 0.500 0.000
Se 0.500 0.000 0.000
As 0.000 0.000 0.500
Tc 0.000 0.000 0.000

---

2.
VASP calculation (GGA-PBE) on crystalline Li2Mg3Hg3 at its relaxed geometry.

- ΔE_f: -0.2233 eV/atom
- DOS(E_F): 0.348 states/eV/atom
- Spin magnetization: 0.00 μB/f.u.
- Total energy: -11.3 eV per cell

Cell lengths 3.130, 7.679, 7.679 Å; angles 120.00, 90.00, 90.00 degrees
Positions (direct):
Hg 0.500 0.609 0.000
Hg 0.500 0.000 0.609
Hg 0.500 0.391 0.391
Mg 0.000 0.751 0.751
Mg 0.000 0.249 0.000
Mg 0.000 0.000 0.249
Li 0.000 0.667 0.333
Li 0.000 0.333 0.667

---

3.
VASP calculation (GGA-PBE) on crystalline Dy2TmTc at its relaxed geometry.

- ΔE_f: 0.0325 eV/atom
- DOS(E_F): 1.358 states/eV/atom
- Spin magnetization: 0.00 μB/f.u.
- Total energy: -23.9 eV per cell

Cell lengths 3.461, 3.461, 8.704 Å; angles 90.00, 90.00, 90.00 degrees
Positions (direct):
Tc 0.500 0.500 0.000
Tm 0.500 0.500 0.500
Dy 0.000 0.000 0.188
Dy 0.000 0.000 0.812

---

4.
VASP calculation (GGA-PBE) on crystalline Ce2DyNpN4 at its relaxed geometry.

- DOS(E_F): 1.329 states/eV/atom
- Spin magnetization: 4.12 μB/f.u.
- Total energy: -74.3 eV per cell

Cell lengths 3.512, 6.058, 6.106 Å; angles 109.26, 90.00, 90.00 degrees
Each line ends with the local moment (μB).
Positions (direct):
Ce 0.000 0.500 0.500  0.56
Ce 0.500 0.000 0.500  0.37
N 0.000 0.757 0.236  -0.07
N 0.500 0.762 0.768  -0.10
N 0.000 0.243 0.764  -0.07
N 0.500 0.238 0.232  -0.10
Np 0.000 0.000 0.000  3.02
Dy 0.500 0.500 0.000  0.07

---

Q: Look up the total energy of the third one.
A: -23.9 eV per cell